! YCdCu2, relaxed, DFT PBE; values from VASP
! * E: -4.02 eV/atom
! * space group: No. 160
&SYSTEM
  ibrav = 0, nat = 4, ntyp = 3
/
ATOMIC_SPECIES
Cu 63.55 Cu.upf
Y 88.91 Y.upf
Cd 112.41 Cd.upf
ATOMIC_POSITIONS angstrom
Cu -0.463 -0.421 4.301
Y -0.788 -0.716 7.318
Cd -1.107 -1.007 10.284
Cu -1.473 -1.339 13.679
CELL_PARAMETERS angstrom
-2.513 1.064 4.678
-0.814 -2.951 4.468
1.795 0.493 5.086